A plane-wave DFT calculation with SCAN was carried out for KSbAu at its PBEsol-relaxed geometry.

## Properties
M_tot in μB/atom: 0.002
Symmetry: P-6m2, No. 187
Polymorph energy (0 for the lowest one) in eV/atom: 0.0000
Total DFT energy (no corrections) in eV/atom: -38.78
Formation energy (no corrections) in kJ per mole of atoms: -51.7

abc: 4.5836 4.5836 4.9989
angles: 90.00 90.00 120.00
Element x y z (fractional)
K: 0.0000 0.0000 0.0000
Sb: 0.6667 0.3333 0.5000
Au: 0.3333 0.6667 0.5000